Here is AlCr4Co at its PBEsol-relaxed geometry from Alexandria via LeMat-Bulk. Energies are from SCAN.

CIF file:
```
data_AlCr4Co
_chemical_formula_sum 'Al1 Cr4 Co1'
_cell_length_a 4.6416
_cell_length_b 4.6416
_cell_length_c 4.6416
_cell_angle_alpha 60.00
_cell_angle_beta 60.00
_cell_angle_gamma 60.00
_symmetry_space_group_name_H-M 'P 1'
_symmetry_Int_Tables_number 1
loop_
_symmetry_equiv_pos_as_xyz
'x,y,z'
loop_
_atom_site_label
_atom_site_fract_x
_atom_site_fract_y
_atom_site_fract_z
Al1 0.0000 0.0000 0.0000
Cr1 0.1213 0.6262 0.6262
Cr2 0.6262 0.1213 0.6262
Cr3 0.6262 0.6262 0.1213
Cr4 0.6262 0.6262 0.6262
Co1 0.2500 0.2500 0.2500
```

Calculated values
Total magnetic moment: 0.0 μB per cell
Energy: -16.195 eV/atom
DFT formation energy: 0.237 eV/atom
SG: No. 216

Here is AlCrCo6 at its PBEsol-relaxed geometry from Alexandria via LeMat-Bulk. Energies are from SCAN.

CIF file:
```
data_AlCrCo6
_chemical_formula_sum 'Al4 Cr4 Co24'
_cell_length_a 5.9813
_cell_length_b 5.9813
_cell_length_c 9.7940
_cell_angle_alpha 90.00
_cell_angle_beta 90.00
_cell_angle_gamma 109.52
_symmetry_space_group_name_H-M 'P 1'
_symmetry_Int_Tables_number 1
loop_
_symmetry_equiv_pos_as_xyz
'x,y,z'
loop_
_atom_site_label
_atom_site_fract_x
_atom_site_fract_y
_atom_site_fract_z
Al1 0.0000 0.0000 0.2503
Al2 0.0000 0.0000 0.7497
Al3 0.2501 0.7499 0.0000
Al4 0.7499 0.2501 0.0000
Cr1 0.2510 0.7490 0.5000
Cr2 0.5000 0.5000 0.2443
Cr3 0.5000 0.5000 0.7557
Cr4 0.7490 0.2510 0.5000
Co1 0.0000 0.0000 0.0000
Co2 0.0000 0.0000 0.5000
Co3 0.1274 0.3808 0.3783
Co4 0.1274 0.3808 0.6217
Co5 0.1308 0.3777 0.1287
Co6 0.1308 0.3777 0.8713
Co7 0.2533 0.7467 0.2559
Co8 0.2533 0.7467 0.7441
Co9 0.3777 0.1308 0.1287
Co10 0.3777 0.1308 0.8713
Co11 0.3808 0.1274 0.3783
Co12 0.3808 0.1274 0.6217
Co13 0.5000 0.5000 0.0000
Co14 0.5000 0.5000 0.5000
Co15 0.6192 0.8726 0.3783
Co16 0.6192 0.8726 0.6217
Co17 0.6223 0.8692 0.1287
Co18 0.6223 0.8692 0.8713
Co19 0.7467 0.2533 0.2559
Co20 0.7467 0.2533 0.7441
Co21 0.8692 0.6223 0.1287
Co22 0.8692 0.6223 0.8713
Co23 0.8726 0.6192 0.3783
Co24 0.8726 0.6192 0.6217
```

Calculated values
Total magnetic moment: 20.4 μB per cell
Energy: -16.262 eV/atom
DFT formation energy: -0.017 eV/atom
SG: No. 65